Computed, not measured: an optimized crystal structure of Ac3In2Ge2Pd4 at the PBE level of DFT. Values from VASP.

Properties
Its formation enthalpy at 0 K is -0.754 eV per atom. As for the crystal system: trigonal. As for the space-group type: P-3m1 (164).

Quantum ESPRESSO input file:
```
&SYSTEM
  ibrav = 0, nat = 11, ntyp = 4
/
ATOMIC_SPECIES
Ac 227.00 Ac.upf
In 114.82 In.upf
Ge 72.64 Ge.upf
Pd 106.42 Pd.upf
CELL_PARAMETERS angstrom
4.570 0.000 0.000
-2.285 3.957 0.000
0.000 0.000 15.343
ATOMIC_POSITIONS crystal
Ac 0.000 0.000 0.000
Ac 0.000 0.000 0.268
Ac 0.000 0.000 0.732
In 0.333 0.667 0.560
In 0.667 0.333 0.440
Ge 0.333 0.667 0.143
Ge 0.667 0.333 0.857
Pd 0.333 0.667 0.380
Pd 0.333 0.667 0.867
Pd 0.667 0.333 0.133
Pd 0.667 0.333 0.620
```

---

Computed, not measured: an optimized crystal structure of Ba2ZnGeN at the PBE level of DFT. Values from VASP.

Properties
The value obtained for the uncorrected formation energy is -2.105 eV per formula unit. As for the crystal system: monoclinic. As for the space-group type: P2_1/m (11).

Quantum ESPRESSO input file:
```
&SYSTEM
  ibrav = 0, nat = 10, ntyp = 4
/
ATOMIC_SPECIES
Ba 137.33 Ba.upf
Zn 65.41 Zn.upf
Ge 72.64 Ge.upf
N 14.01 N.upf
CELL_PARAMETERS angstrom
7.493 0.000 0.000
0.000 4.062 0.000
-3.138 0.000 9.084
ATOMIC_POSITIONS crystal
Ba 0.190 0.250 0.378
Ba 0.204 0.250 0.965
Ba 0.796 0.750 0.035
Ba 0.810 0.750 0.622
Zn 0.453 0.750 0.244
Zn 0.547 0.250 0.756
Ge 0.325 0.750 0.697
Ge 0.675 0.250 0.303
N 0.179 0.750 0.169
N 0.821 0.250 0.831
```

---

Computed, not measured: an optimized crystal structure of Nd2Al9Pd6 at the PBE level of DFT. Values from VASP.

Properties
Its formation enthalpy at 0 K is -0.646 eV per atom. As for the crystal system: hexagonal. As for the space-group type: P6/mmm (191).

Quantum ESPRESSO input file:
```
&SYSTEM
  ibrav = 0, nat = 17, ntyp = 3
/
ATOMIC_SPECIES
Nd 144.24 Nd.upf
Al 26.98 Al.upf
Pd 106.42 Pd.upf
CELL_PARAMETERS angstrom
5.483 0.000 0.000
-2.742 4.749 0.000
0.000 0.000 12.545
ATOMIC_POSITIONS crystal
Nd 0.000 0.000 0.159
Nd 0.000 0.000 0.841
Al 0.000 0.500 0.000
Al 0.000 0.500 0.339
Al 0.000 0.500 0.661
Al 0.500 0.000 0.000
Al 0.500 0.000 0.339
Al 0.500 0.000 0.661
Al 0.500 0.500 0.000
Al 0.500 0.500 0.339
Al 0.500 0.500 0.661
Pd 0.333 0.667 0.173
Pd 0.333 0.667 0.500
Pd 0.333 0.667 0.827
Pd 0.667 0.333 0.173
Pd 0.667 0.333 0.500
Pd 0.667 0.333 0.827
```

---

Computed, not measured: an optimized crystal structure of Er2GaHg2 at the PBE level of DFT. Values from VASP.

Properties
Its formation enthalpy at 0 K is -0.446 eV per atom. As for the crystal system: monoclinic. The calculation puts the energy above the most stable polymorph in this dataset at 0.0 meV per atom. As for the space-group type: C2/m (12).

Quantum ESPRESSO input file:
```
&SYSTEM
  ibrav = 0, nat = 10, ntyp = 3
/
ATOMIC_SPECIES
Er 167.26 Er.upf
Ga 69.72 Ga.upf
Hg 200.59 Hg.upf
CELL_PARAMETERS angstrom
5.533 -2.176 0.000
5.533 2.176 0.000
-4.721 0.000 9.914
ATOMIC_POSITIONS crystal
Er 0.003 0.003 0.330
Er 0.183 0.183 0.106
Er 0.817 0.817 0.894
Er 0.997 0.997 0.670
Ga 0.288 0.288 0.684
Ga 0.712 0.712 0.316
Hg 0.350 0.350 0.447
Hg 0.456 0.456 0.112
Hg 0.544 0.544 0.888
Hg 0.650 0.650 0.553
```

---

Computed, not measured: an optimized crystal structure of La2AlPt2 at the PBE level of DFT. Values from VASP.

Properties
Its formation enthalpy at 0 K is -0.867 eV per atom. As for the crystal system: tetragonal. As for the space-group type: I4/mmm (139).

Quantum ESPRESSO input file:
```
&SYSTEM
  ibrav = 0, nat = 5, ntyp = 3
/
ATOMIC_SPECIES
La 138.91 La.upf
Al 26.98 Al.upf
Pt 195.08 Pt.upf
CELL_PARAMETERS angstrom
-2.889 2.889 3.888
2.889 -2.889 3.888
2.889 2.889 -3.888
ATOMIC_POSITIONS crystal
La 0.250 0.750 0.500
La 0.750 0.250 0.500
Al 0.000 0.000 0.000
Pt 0.330 0.330 0.000
Pt 0.670 0.670 0.000
```

---

Computed, not measured: an optimized crystal structure of CrMo2W3 at the PBE level of DFT. Values from VASP.

Properties
Its formation enthalpy at 0 K is 0.023 eV per atom. As for the crystal system: orthorhombic. As for the space-group type: Cmmm (65).

Quantum ESPRESSO input file:
```
&SYSTEM
  ibrav = 0, nat = 12, ntyp = 3
/
ATOMIC_SPECIES
Cr 52.00 Cr.upf
Mo 95.94 Mo.upf
W 183.84 W.upf
CELL_PARAMETERS angstrom
2.212 -6.642 0.000
2.212 6.642 0.000
0.000 0.000 6.273
ATOMIC_POSITIONS crystal
Cr 0.168 0.832 0.000
Cr 0.832 0.168 0.000
Mo 0.167 0.833 0.500
Mo 0.500 0.500 0.000
Mo 0.500 0.500 0.500
Mo 0.833 0.167 0.500
W 0.000 0.000 0.246
W 0.000 0.000 0.754
W 0.331 0.669 0.243
W 0.331 0.669 0.757
W 0.669 0.331 0.243
W 0.669 0.331 0.757
```

---

| no. | density of states at the Fermi level (states/eV per cell) | total magnetization (μB/f.u.) |
| --- | --- | --- |
| 1 | 5.33 | 0.000 |
| 2 | 7.51 | 0.001 |
| 3 | 11.21 | 0.000 |
| 4 | 6.09 | 0.000 |
| 5 | 5.82 | 0.000 |
| 6 | 7.15 | 0.001 |